*i*
VASP calculation (GGA-PBE) on a relaxed MgPI3 crystal.

Structure (POSCAR):
```
MgPI3
1.0
5.555 0.000 0.000
0.000 5.555 0.000
0.000 0.000 5.555
I P Mg
3 1 1
direct
0.000 0.500 0.000
0.500 0.000 0.000
0.000 0.000 0.500
0.000 0.000 0.000
0.500 0.500 0.500
```

*ii*
VASP calculation (GGA-PBE) on a relaxed MgPI3 crystal.

Structure (POSCAR):
```
MgPI3
1.0
-3.133 -4.719 0.869
4.504 -2.533 2.478
-1.657 2.038 5.094
I Mg P
3 1 1
direct
0.500 0.000 0.000
0.000 0.500 0.000
0.000 0.000 0.500
0.000 0.000 0.000
0.500 0.500 0.500
```

The energy of each structure relative to the most stable one, in eV/atom, is as follows: *i* 0.000; *ii* 0.093.

*i*
VASP calculation (GGA-PBE) on a relaxed Mg3PI crystal.

Structure (POSCAR):
```
Mg3PI
1.0
-4.677 2.855 -0.403
-1.852 -2.386 4.590
2.210 4.043 2.993
Mg I P
3 1 1
direct
0.000 0.500 0.000
0.500 0.000 0.000
0.000 0.000 0.500
0.000 0.000 0.000
0.500 0.500 0.500
```

*ii*
VASP calculation (GGA-PBE) on a relaxed Mg3PI crystal.

Structure (POSCAR):
```
Mg3PI
1.0
-0.500 -2.047 4.690
5.117 -0.261 0.432
0.066 4.710 2.062
Mg P I
3 1 1
direct
0.000 0.000 0.500
0.000 0.500 0.000
0.500 0.000 0.000
0.000 0.000 0.000
0.500 0.500 0.500
```

The energy of each structure relative to the most stable one, in eV/atom, is as follows: *i* 1.017; *ii* 0.000.

*i*
VASP calculation (GGA-PBE) on a relaxed MgPS2I crystal.

Structure (POSCAR):
```
MgPS2I
1.0
5.052 0.000 0.000
0.000 5.052 0.000
0.000 0.000 5.184
I S P Mg
1 2 1 1
direct
0.000 0.000 0.000
0.500 0.000 0.000
0.000 0.500 0.000
0.000 0.000 0.500
0.500 0.500 0.500
```

*ii*
VASP calculation (GGA-PBE) on a relaxed MgPS2I crystal.

Structure (POSCAR):
```
MgPS2I
1.0
-0.050 -2.099 4.211
-3.376 -2.917 -1.494
3.737 -3.463 -1.682
P I Mg S
1 1 1 2
direct
0.000 0.000 0.500
0.500 0.500 0.500
0.000 0.000 0.000
0.500 0.000 0.000
0.000 0.500 0.000
```

The energy of each structure relative to the most stable one, in eV/atom, is as follows: *i* 0.294; *ii* 0.000.